Material: Ba2SiBiPd6
Method: DFT, PBE
State: relaxed

Volume   239.2 Å³ per cell
Magnetic moment   0.0000 μB per atom
Calculated total energy   -5.013 eV/atom

Geometry as POSCAR:
```
Ba2SiBiPd6
1.0
6.0171 -2.9702 0.0000
6.0171 2.9702 0.0000
-4.9126 0.0000 6.6911
Ba Si Bi Pd
2 1 1 6
Direct
0.2469 0.2469 0.2921
0.7531 0.7531 0.7079
0.5000 0.5000 0.0000
0.0000 0.0000 0.5000
0.2206 0.7048 0.1947
0.2583 0.2583 0.8710
0.2952 0.7794 0.8053
0.7048 0.2206 0.1947
0.7417 0.7417 0.1290
0.7794 0.2952 0.8053
```